AgP2BrO: optimized geometry, PBE.

Lattice parameters (Å, degrees): 4.9235 4.9235 4.0432 90.00 90.00 90.00
Closest atoms and distances in Å follow each position.
Space group P4/mmm (No. 123)
Asymmetric unit:
Ag 0.0000 0.0000 0.0000 x1  2 O 2.02
P 0.0000 0.5000 0.0000 x2  2 Ag 2.46
Br 0.5000 0.5000 0.5000 x1  8 P 3.19, 4 O 3.48
O 0.0000 0.0000 0.5000 x1  2 Ag 2.02

E_form (uncorrected) ... 4.98 eV per formula unit
N(E_F) ... 5.099 states/eV/f.u.
Offset from the most stable computed form ... 0 meV/atom
Total magnetization ... 0.26 Bohr magnetons per cell

Ag2PbBrO2: optimized geometry, PBE.

Lattice parameters (Å, degrees): 5.7723 5.6527 7.8416 90.00 102.35 90.00
Closest atoms and distances in Å follow each position.
Space group P2_1/m (No. 11)
Asymmetric unit:
Ag 0.0170 0.2500 0.2448 x2  2 O 2.28
Ag 0.3026 0.7500 0.1169 x2  2 O 2.28
Pb 0.3609 0.7500 0.5802 x2  4 O 2.27-2.28
Br 0.2234 0.2500 0.9255 x2  3 Ag 2.83-2.99
O 0.3249 0.9995 0.3475 x4  2 Pb 2.27-2.28, 2 Ag 2.28

E_form (uncorrected) ... -2.19 eV per formula unit
N(E_F) ... 4.853 states/eV/f.u.
Total magnetization ... 1.30 Bohr magnetons per cell

AgPbBrO: optimized geometry, PBE.

Lattice parameters (Å, degrees): 3.9386 3.9386 21.7437 90.00 90.00 120.00
Closest atoms and distances in Å follow each position.
Space group R3m (No. 160, hexagonal axes)
Asymmetric unit:
Ag 0.0000 0.0000 0.0000 x3  1 O 2.21
Pb 0.0000 0.0000 0.1949 x3  3 O 2.41
Br 0.0000 0.0000 0.4087 x3  3 Ag 2.80
O 0.0000 0.0000 0.8985 x3  1 Ag 2.21, 3 Pb 2.41

E_form (uncorrected) ... -2.58 eV per formula unit
N(E_F) ... 0.000 states/eV/f.u.
Offset from the most stable computed form ... 45 meV/atom
Total magnetization ... 0.00 Bohr magnetons per cell

AgPbBrO: optimized geometry, PBE.

Lattice parameters (Å, degrees): 4.0237 4.0237 14.5301 90.00 90.00 90.00
Closest atoms and distances in Å follow each position.
Space group P4/nmm (No. 129, origin choice 2)
Asymmetric unit:
Ag 0.2500 0.2500 0.0816 x2  5 Br 2.86-2.89
Pb 0.2500 0.2500 0.5832 x2  4 O 2.35
Br 0.2500 0.2500 0.8848 x2  5 Ag 2.86-2.89
O 0.2500 0.7500 0.5000 x2  4 Pb 2.35

E_form (uncorrected) ... -2.76 eV per formula unit
N(E_F) ... 0.541 states/eV/f.u.
Offset from the most stable computed form ... 0 meV/atom
Total magnetization ... 0.00 Bohr magnetons per cell

Pu2Ag2Br2O5: optimized geometry, PBE.

Lattice parameters (Å, degrees): 4.1449 4.1449 25.7544 90.00 90.00 90.00
Closest atoms and distances in Å follow each position.
Space group I4/mmm (No. 139)
Asymmetric unit:
Pu 0.0000 0.0000 0.0801 x4  5 O 2.06-2.08
Ag 0.0000 0.0000 0.3246 x4  5 Br 2.99-3.25, 4 O 3.05
Br 0.0000 0.0000 0.1983 x4  5 Ag 2.99-3.25, 1 Pu 3.04
O 0.0000 0.0000 0.0000 x2  2 Pu 2.06
O 0.0000 0.5000 0.0883 x8  2 Pu 2.08

E_form (uncorrected) ... -19.25 eV per formula unit
N(E_F) ... 8.252 states/eV/f.u.
Total magnetization ... 12.00 Bohr magnetons per cell

Rb5AgBrO2: optimized geometry, PBE.

Lattice parameters (Å, degrees): 5.7535 5.7535 9.6619 90.00 90.00 90.00
Closest atoms and distances in Å follow each position.
Space group P4/mmm (No. 123)
Asymmetric unit:
Rb 0.0000 0.0000 0.0000 x1  2 O 2.74
Rb 0.0000 0.5000 0.2830 x4  2 O 2.88
Ag 0.0000 0.0000 0.5000 x1  2 O 2.09
Br 0.5000 0.5000 0.0000 x1  12 Rb 3.97-4.07
O 0.0000 0.0000 0.2838 x2  1 Ag 2.09

E_form (uncorrected) ... -8.70 eV per formula unit
N(E_F) ... 1.769 states/eV/f.u.
Total magnetization ... 0.58 Bohr magnetons per cell

AgRuBrO4: optimized geometry, PBE.

Lattice parameters (Å, degrees): 10.4447 7.9694 8.5008 90.00 119.87 90.00
Closest atoms and distances in Å follow each position.
Space group C2/m (No. 12)
Asymmetric unit:
Ag 0.1901 0.0000 0.1708 x4  1 O 2.25
Ru 0.1160 0.5000 0.3086 x4  4 O 1.72-1.74
Br 0.0616 0.0000 0.8190 x4  2 Ag 2.60-2.67
O 0.0732 0.5000 0.8409 x4  1 Ru 1.74
O 0.1475 0.5000 0.5298 x4  1 Ru 1.74
O 0.1951 0.3241 0.2743 x8  1 Ru 1.72

E_form (uncorrected) ... -3.55 eV per formula unit
N(E_F) ... 2.451 states/eV/f.u.
Total magnetization ... 0.00 Bohr magnetons per cell

AgSeBr2O: optimized geometry, PBE.

Lattice parameters (Å, degrees): 4.9247 4.9247 4.3060 90.00 90.00 90.00
Closest atoms and distances in Å follow each position.
Space group P4/mmm (No. 123)
Asymmetric unit:
Ag 0.0000 0.0000 0.0000 x1  8 Br 3.27, 4 Se 3.48
Se 0.5000 0.5000 0.0000 x1  2 O 2.15
Br 0.0000 0.5000 0.5000 x2  2 O 2.46
O 0.5000 0.5000 0.5000 x1  2 Se 2.15

E_form (uncorrected) ... 2.39 eV per formula unit
N(E_F) ... 1.990 states/eV/f.u.
Offset from the most stable computed form ... 0 meV/atom
Total magnetization ... 0.00 Bohr magnetons per cell

AgSeBr2O: optimized geometry, PBE.

Lattice parameters (Å, degrees): 5.1926 5.1926 5.2443 90.00 90.00 90.00
Closest atoms and distances in Å follow each position.
Space group P4/mmm (No. 123)
Asymmetric unit:
Ag 0.0000 0.0000 0.0000 x1  4 Br 2.60, 2 Se 2.62
Se 0.0000 0.0000 0.5000 x1  2 Ag 2.62
Br 0.0000 0.5000 0.0000 x2  2 Ag 2.60
O 0.5000 0.5000 0.5000 x1  4 Se 3.67, 8 Br 3.69

E_form (uncorrected) ... 5.20 eV per formula unit
N(E_F) ... 16.495 states/eV/f.u.
Offset from the most stable computed form ... 563 meV/atom
Total magnetization ... 1.60 Bohr magnetons per cell

AgSe2BrO: optimized geometry, PBE.

Lattice parameters (Å, degrees): 5.1430 5.1430 5.1455 90.00 90.00 90.00
Closest atoms and distances in Å follow each position.
Space group P4/mmm (No. 123)
Asymmetric unit:
Ag 0.0000 0.0000 0.0000 x1  4 Se 2.57, 2 Br 2.57
Se 0.0000 0.5000 0.0000 x2  2 Ag 2.57
Br 0.0000 0.0000 0.5000 x1  2 Ag 2.57
O 0.5000 0.5000 0.5000 x1  4 Br 3.64, 8 Se 3.64

E_form (uncorrected) ... 5.98 eV per formula unit
N(E_F) ... 12.345 states/eV/f.u.
Offset from the most stable computed form ... 936 meV/atom
Total magnetization ... 2.15 Bohr magnetons per cell

AgSe2BrO: optimized geometry, PBE.

Lattice parameters (Å, degrees): 4.1077 4.1077 7.5562 90.00 90.00 90.00
Closest atoms and distances in Å follow each position.
Space group P4/mmm (No. 123)
Asymmetric unit:
Ag 0.0000 0.0000 0.0000 x1  4 Br 2.90
Se 0.0000 0.5000 0.5000 x2  2 O 2.05
Br 0.5000 0.5000 0.0000 x1  4 Ag 2.90
O 0.5000 0.5000 0.5000 x1  4 Se 2.05

E_form (uncorrected) ... 1.30 eV per formula unit
N(E_F) ... 3.841 states/eV/f.u.
Offset from the most stable computed form ... 0 meV/atom
Total magnetization ... 0.72 Bohr magnetons per cell

SrAgBr2O: optimized geometry, PBE.

Lattice parameters (Å, degrees): 5.5238 5.5238 4.5086 90.00 90.00 90.00
Closest atoms and distances in Å follow each position.
Space group P4/mmm (No. 123)
Asymmetric unit:
Sr 0.0000 0.0000 0.0000 x1  2 O 2.25
Ag 0.5000 0.5000 0.0000 x1  8 Br 3.57, 4 Sr 3.91
Br 0.0000 0.5000 0.5000 x2  2 O 2.76
O 0.0000 0.0000 0.5000 x1  2 Sr 2.25

E_form (uncorrected) ... -3.04 eV per formula unit
N(E_F) ... 2.675 states/eV/f.u.
Total magnetization ... 0.55 Bohr magnetons per cell